No. 1
Here is crystalline RbNaHgAu2 at its relaxed geometry from the Alexandria database. Energies are from PBE-GGA.

The structure in POSCAR format:
```
RbNaHgAu2
1.0
4.726 0.000 0.000
0.000 4.673 0.000
-2.363 -2.336 6.435
Au Na Rb Hg
2 1 1 1
Direct
0.054 0.054 0.109
0.687 0.187 0.375
0.186 0.686 0.372
0.452 0.452 0.904
0.832 0.832 0.665
```

Output
density of states at the Fermi level	1.0	states/eV/cell
theoretical density	8.22	g/cm³
E_form	-0.26	eV per atom
E	-2.0916	eV/atom
crystal system	orthorhombic


No. 2
Here is crystalline CrTe2Ir at its relaxed geometry from the Alexandria database. Energies are from PBE-GGA.

The structure in POSCAR format:
```
CrTe2Ir
1.0
4.872 0.000 0.000
2.436 4.219 0.000
2.436 1.406 3.978
Cr Te Ir
1 2 1
Direct
0.500 0.500 0.500
0.000 0.000 0.000
0.250 0.250 0.250
0.750 0.750 0.750
```

Output
density of states at the Fermi level	4.7	states/eV/cell
theoretical density	10.14	g/cm³
raw formation energy	0.787	eV/atom
E	-5.4048	eV/atom
crystal system	cubic
energy above the most stable polymorph in this dataset	3.436	eV per formula unit


No. 3
Here is crystalline Cr2TcSb at its relaxed geometry from the Alexandria database. Energies are from PBE-GGA.

The structure in POSCAR format:
```
Cr2TcSb
1.0
-2.537 -1.584 -3.080
3.124 -2.694 -1.188
-1.107 -2.181 2.034
Cr Sb Tc
2 1 1
Direct
0.500 0.500 0.000
0.000 0.000 0.000
0.500 0.000 0.500
0.000 0.500 0.500
```

Output
density of states at the Fermi level	4.8	states/eV/cell
theoretical density	9.17	g/cm³
raw formation energy	0.380	eV/atom
E	-8.0540	eV/atom
crystal system	tetragonal


No. 4
Here is crystalline Ca3U3CoN8 at its relaxed geometry from the Alexandria database. Energies are from PBE-GGA.

The structure in POSCAR format:
```
Ca3U3CoN8
1.0
6.804 0.000 0.000
-3.402 5.890 -0.020
0.000 -3.908 5.576
U N Co Ca
3 8 1 3
Direct
0.500 0.500 0.500
0.000 0.500 0.500
0.500 0.000 0.500
0.283 0.045 0.307
0.762 0.524 0.307
0.238 0.476 0.693
0.741 0.482 0.724
0.762 0.045 0.307
0.717 0.955 0.693
0.238 0.955 0.693
0.259 0.518 0.276
0.000 0.000 0.500
0.500 0.500 0.000
0.000 0.500 0.000
0.000 0.000 0.000
```

Output
density of states at the Fermi level	9.3	states/eV/cell
theoretical density	7.49	g/cm³
raw formation energy	-0.954	eV/atom
E	-8.5260	eV/atom
crystal system	trigonal


No. 5
Here is crystalline Mo3PtRh at its relaxed geometry from the Alexandria database. Energies are from PBE-GGA.

The structure in POSCAR format:
```
Mo3PtRh
1.0
4.637 0.000 0.000
0.000 4.637 0.000
0.000 0.000 4.637
Pt Mo Rh
1 3 1
Direct
0.500 0.500 0.500
0.000 0.000 0.500
0.500 0.000 0.000
0.000 0.500 0.000
0.000 0.000 0.000
```

Output
density of states at the Fermi level	7.5	states/eV/cell
theoretical density	9.76	g/cm³
E_form	1.62	eV per atom
E	-7.5569	eV/atom
crystal system	cubic


No. 6
Here is crystalline FeIN2 at its relaxed geometry from the Alexandria database. Energies are from PBE-GGA.

The structure in POSCAR format:
```
FeIN2
1.0
-4.352 2.329 4.261
-2.158 4.547 4.147
-4.372 4.427 1.950
N Fe I
2 1 1
Direct
0.118 0.118 0.118
0.882 0.882 0.882
0.500 0.500 0.500
0.000 0.000 0.000
```

Output
density of states at the Fermi level	3.0	states/eV/cell
theoretical density	6.62	g/cm³
raw formation energy	0.915	eV/atom
E	-5.7512	eV/atom
crystal system	trigonal
energy above the most stable polymorph in this dataset	0.437	eV per formula unit


No. 7
Here is crystalline Cs3K3Ag4 at its relaxed geometry from the Alexandria database. Energies are from PBE-GGA.

The structure in POSCAR format:
```
Cs3K3Ag4
1.0
5.421 0.000 0.000
0.000 9.310 0.024
0.000 0.105 9.310
Cs Ag K
3 4 3
Direct
0.500 0.330 0.333
0.500 0.667 0.670
0.500 0.834 0.166
0.000 0.118 0.098
0.000 0.604 0.396
0.000 0.902 0.882
0.000 0.381 0.619
0.500 0.167 0.833
0.000 0.004 0.506
0.000 0.494 0.996
```

Output
density of states at the Fermi level	6.2	states/eV/cell
theoretical density	3.35	g/cm³
E_form	0.05	eV per atom
E	-1.6760	eV/atom
crystal system	orthorhombic


No. 8
Here is crystalline NaSbTe at its relaxed geometry from the Alexandria database. Energies are from PBE-GGA.

The structure in POSCAR format:
```
NaSbTe
1.0
5.761 0.000 0.000
-0.323 6.025 0.000
-1.298 -1.260 6.527
Te Sb Na
2 2 2
Direct
0.366 0.545 0.004
0.482 0.013 0.456
0.885 0.909 0.720
0.134 0.286 0.622
0.514 0.057 0.999
0.971 0.628 0.272
```

Output
theoretical density	3.99	g/cm³
raw formation energy	-0.324	eV/atom
E	-3.1850	eV/atom
crystal system	triclinic
energy above the most stable polymorph in this dataset	0.400	eV per formula unit


Number 1 is which compound?
RbNaHgAu2


Copy entry 7 word for word.
Here is crystalline Cs3K3Ag4 at its relaxed geometry from the Alexandria database. Energies are from PBE-GGA.

The structure in POSCAR format:
```
Cs3K3Ag4
1.0
5.421 0.000 0.000
0.000 9.310 0.024
0.000 0.105 9.310
Cs Ag K
3 4 3
Direct
0.500 0.330 0.333
0.500 0.667 0.670
0.500 0.834 0.166
0.000 0.118 0.098
0.000 0.604 0.396
0.000 0.902 0.882
0.000 0.381 0.619
0.500 0.167 0.833
0.000 0.004 0.506
0.000 0.494 0.996
```

Output
density of states at the Fermi level	6.2	states/eV/cell
theoretical density	3.35	g/cm³
E_form	0.05	eV per atom
E	-1.6760	eV/atom
crystal system	orthorhombic


What is the formula in the first record?
RbNaHgAu2